(1)
The following is a PBE calculation of a geometry-optimized TmTeAuO structure, from OQMD via LeMat-Bulk.

```
TmTeAuO
1.0
7.826 0.000 0.000
0.000 6.247 0.000
-0.078 0.000 6.172
Tm Te Au O
4 4 4 4
Cartesian
0.692 0.106 1.539
0.652 3.018 4.625
7.095 3.229 1.546
7.055 6.141 4.632
2.411 3.593 1.247
2.372 5.777 4.333
5.375 0.470 1.838
5.336 2.654 4.924
3.141 1.268 0.047
3.102 1.855 3.133
4.645 4.392 3.039
4.606 4.978 6.124
-0.021 1.501 6.146
0.018 1.623 3.060
7.729 4.624 3.111
7.768 4.746 0.026
```


(2)
The following is a PBE calculation of a geometry-optimized TmTeAuO structure, from OQMD via LeMat-Bulk.

```
TmTeAuO
1.0
20.652 0.000 0.000
0.000 2.819 2.821
0.000 -2.819 2.821
Tm Te Au O
4 4 4 4
Cartesian
1.037 -1.410 2.821
9.289 1.409 2.821
11.363 -1.409 2.821
19.615 1.410 2.821
2.840 1.402 2.823
7.486 -1.418 2.823
13.166 1.418 2.823
17.812 -1.402 2.823
5.166 -0.014 0.021
5.160 -0.014 2.842
15.485 0.014 0.021
15.492 0.014 2.842
0.000 0.000 1.411
0.000 0.000 4.233
10.326 0.000 1.411
10.326 0.000 4.233
```


(3)
The following is a PBE calculation of a geometry-optimized TmTeAuO structure, from OQMD via LeMat-Bulk.

```
TmTeAuO
1.0
10.327 0.000 0.000
0.000 2.822 2.824
0.000 -2.822 2.824
Tm Te Au O
2 2 2 2
Cartesian
1.038 -1.411 2.824
9.290 1.411 2.824
2.843 1.411 2.830
7.485 -1.411 2.830
5.164 0.000 0.005
5.164 0.000 2.830
0.000 0.000 1.412
0.000 0.000 4.236
```


(4)
The following is a PBE calculation of a geometry-optimized TmTeAuO structure, from OQMD via LeMat-Bulk.

```
TmTeAuO
1.0
10.072 0.000 0.000
0.000 5.621 0.000
0.000 0.000 5.621
Tm Te Au O
4 4 4 4
Cartesian
1.042 5.619 1.405
1.042 2.813 4.216
9.030 0.002 4.216
9.030 2.808 1.405
2.844 0.006 4.216
2.844 2.805 1.405
7.228 2.816 4.216
7.228 5.615 1.405
5.021 4.216 0.000
5.021 4.216 2.810
5.051 1.405 0.000
5.051 1.405 2.810
0.001 1.405 0.000
0.001 1.405 2.810
10.071 4.216 0.000
10.071 4.216 2.810
```


no.,ΔE to the lowest computed polymorph (meV/atom)
1,205.7
2,0.3
3,0.0
4,39.4